# La2Al3Cu7

A relaxed structure of La2Al3Cu7 (PBEsol, Alexandria via LeMat-Bulk).

## Properties
Total energy (eV/atom): -4.7644
ρ (g/cm3): 6.9

Cell lengths 4.1524, 5.1901, 8.9517 Å; angles 90.95, 90.00, 90.00 degrees
Atoms (fractional coordinates):
Al (0.5000, 0.7368, 0.2564)
Al (0.5000, 0.2632, 0.7436)
Al (0.5000, 0.0000, 0.0000)
Cu (0.0000, 0.2593, 0.9168)
Cu (0.0000, 0.7494, 0.4195)
Cu (0.0000, 0.7407, 0.0832)
Cu (0.0000, 0.2506, 0.5805)
Cu (0.5000, 0.5000, 0.5000)
Cu (0.5000, 0.5000, 0.0000)
Cu (0.5000, 0.0000, 0.5000)
La (0.0000, 0.2450, 0.2522)
La (0.0000, 0.7550, 0.7478)

***

# CdAg2Sb

A relaxed structure of CdAg2Sb (PBEsol, Alexandria via LeMat-Bulk).

## Properties
Formation energy without anion corrections (kcal/mol of atoms): 0.992
Energy relative to the lowest polymorph listed for this composition (kcal/mol of atoms): 0.000
Total energy (eV/atom): -3.0511
ρ (g/cm3): 9.5

Cell lengths 3.0737, 4.0770, 6.3060 Å; angles 90.00, 90.00, 90.00 degrees
Atoms (fractional coordinates):
Sb (0.5000, 0.5000, 0.5000)
Ag (0.0000, 0.0000, 0.7701)
Ag (0.0000, 0.0000, 0.2299)
Cd (0.5000, 0.5000, 0.0000)

***

# BaTi3Mo

A relaxed structure of BaTi3Mo (PBEsol, Alexandria via LeMat-Bulk).

## Properties
Total energy (eV/atom): -5.5717
ρ (g/cm3): 5.6

Cell lengths 4.8267, 4.8267, 4.8267 Å; angles 90.00, 90.00, 90.00 degrees
Each line ends with the local moment (μB).
Atoms (fractional coordinates):
Mo (0.5000, 0.5000, 0.5000)  2.24
Ba (0.0000, 0.0000, 0.0000)  -0.03
Ti (0.0000, 0.5000, 0.0000)  -0.37
Ti (0.0000, 0.0000, 0.5000)  -0.37
Ti (0.5000, 0.0000, 0.0000)  -0.37

***

# CdSeCl2

A relaxed structure of CdSeCl2 (PBEsol, Alexandria via LeMat-Bulk).

## Properties
Formation energy without anion corrections (kcal/mol of atoms): -5.231
Energy relative to the lowest polymorph listed for this composition (kcal/mol of atoms): 1.315
Total energy (eV/atom): -2.4926
ρ (g/cm3): 4.4

Cell lengths 3.1303, 3.1303, 10.0331 Å; angles 90.00, 90.00, 90.00 degrees
Atoms (fractional coordinates):
Cl (0.0000, 0.0000, 0.6608)
Cl (0.0000, 0.0000, 0.3392)
Se (0.5000, 0.5000, 0.0000)
Cd (0.5000, 0.5000, 0.5000)

***

# Cu2NiRu

A relaxed structure of Cu2NiRu (PBEsol, Alexandria via LeMat-Bulk).

## Properties
Energy relative to the lowest polymorph listed for this composition (kcal/mol of atoms): 2.366
Total energy (eV/atom): -6.0146
ρ (g/cm3): 10.1

Cell lengths 2.4536, 4.2344, 4.5329 Å; angles 90.00, 94.12, 90.00 degrees
Atoms (fractional coordinates):
Cu (0.6997, 0.0000, 0.7557)
Cu (0.3003, 0.0000, 0.2443)
Ni (0.5000, 0.5000, 0.0000)
Ru (0.0000, 0.5000, 0.5000)

***

# Mg2ZrScMo

A relaxed structure of Mg2ZrScMo (PBEsol, Alexandria via LeMat-Bulk).

## Properties
Total energy (eV/atom): -5.4384
ρ (g/cm3): 3.8

Cell lengths 4.6971, 5.1343, 5.1343 Å; angles 90.00, 90.00, 90.00 degrees
Atoms (fractional coordinates):
Sc (0.5000, 0.5000, 0.5000)
Mo (0.0000, 0.0000, 0.0000)
Mg (0.0000, 0.0000, 0.5000)
Mg (0.0000, 0.5000, 0.0000)
Zr (0.5000, 0.0000, 0.0000)

***

# KZr2Tl

A relaxed structure of KZr2Tl (PBEsol, Alexandria via LeMat-Bulk).

## Properties
Energy relative to the lowest polymorph listed for this composition (kcal/mol of atoms): 0.000
Total energy (eV/atom): -4.9848
ρ (g/cm3): 6.0

Cell lengths 3.1913, 4.2800, 8.6743 Å; angles 90.00, 90.00, 90.00 degrees
Atoms (fractional coordinates):
K (0.5000, 0.5000, 0.0000)
Tl (0.5000, 0.5000, 0.5000)
Zr (0.0000, 0.0000, 0.6641)
Zr (0.0000, 0.0000, 0.3359)

***

# LaFeSe2

A relaxed structure of LaFeSe2 (PBEsol, Alexandria via LeMat-Bulk).

## Properties
Formation energy without anion corrections (kcal/mol of atoms): -21.183
Energy relative to the lowest polymorph listed for this composition (kcal/mol of atoms): 1.148
Total energy (eV/atom): -6.4211
ρ (g/cm3): 7.2

Cell lengths 3.7731, 5.0958, 5.0958 Å; angles 67.14, 68.27, 68.27 degrees
Each line ends with the local moment (μB).
Atoms (fractional coordinates):
Fe (0.5000, 0.0000, 0.0000)  1.26
La (0.0000, 0.5000, 0.5000)  -0.10
Se (0.1868, 0.8132, 0.8132)  0.01
Se (0.8132, 0.1868, 0.1868)  0.01

***

Q: Among the records above, which one has the lowest ρ?
A: Mg2ZrScMo

***

Q: ρ of number 5 (Cu2NiRu)?
A: 10.1 g/cm3

***

Q: Which value of total energy does entry 7 give?
A: -4.9848 eV/atom

***

What did the third record say?
# BaTi3Mo

A relaxed structure of BaTi3Mo (PBEsol, Alexandria via LeMat-Bulk).

## Properties
Total energy (eV/atom): -5.5717
ρ (g/cm3): 5.6

Cell lengths 4.8267, 4.8267, 4.8267 Å; angles 90.00, 90.00, 90.00 degrees
Each line ends with the local moment (μB).
Atoms (fractional coordinates):
Mo (0.5000, 0.5000, 0.5000)  2.24
Ba (0.0000, 0.0000, 0.0000)  -0.03
Ti (0.0000, 0.5000, 0.0000)  -0.37
Ti (0.0000, 0.0000, 0.5000)  -0.37
Ti (0.5000, 0.0000, 0.0000)  -0.37